# 1
{"formula": "RbZrTlSe3", "functional": "PBE-GGA", "state": "optimized geometry", "cell": [[15.932, 0.000, 0.000], [0.000, 3.963, 0.000], [0.000, 0.000, 12.031]], "species": ["Rb", "Se", "Tl", "Zr", "Rb", "Se", "Se", "Se", "Zr", "Se", "Rb", "Se", "Zr", "Se", "Se", "Se", "Tl", "Se", "Zr", "Rb", "Tl", "Se", "Se", "Tl"], "frac_coords": [[0.764, 0.750, 0.886], [0.184, 0.250, 0.397], [0.076, 0.750, 0.867], [0.070, 0.750, 0.371], [0.736, 0.250, 0.386], [0.935, 0.250, 0.845], [0.050, 0.750, 0.610], [0.684, 0.250, 0.103], [0.930, 0.250, 0.629], [0.065, 0.750, 0.155], [0.264, 0.750, 0.614], [0.950, 0.250, 0.390], [0.570, 0.750, 0.129], [0.450, 0.250, 0.110], [0.435, 0.250, 0.655], [0.816, 0.750, 0.603], [0.576, 0.750, 0.633], [0.316, 0.750, 0.897], [0.430, 0.250, 0.871], [0.236, 0.250, 0.114], [0.424, 0.250, 0.367], [0.550, 0.750, 0.890], [0.565, 0.750, 0.345], [0.924, 0.250, 0.133]], "de_polymorph_mev_per_atom": 0.1}

***

# 2
{"formula": "Cu2Sn3Ge2", "functional": "PBE-GGA", "state": "optimized geometry", "cell": [[-3.099, 7.087, 4.076], [-6.546, 3.975, 4.218], [-3.067, 3.730, 7.289]], "species": ["Sn", "Cu", "Cu", "Sn", "Sn", "Ge", "Ge"], "frac_coords": [[0.389, 0.389, 0.389], [0.245, 0.245, 0.245], [0.748, 0.748, 0.748], [0.621, 0.621, 0.621], [0.865, 0.865, 0.865], [0.008, 0.008, 0.008], [0.499, 0.499, 0.499]], "total_energy_ev_per_atom": -3.779}

***

# 3
{"formula": "TbScB", "functional": "PBE-GGA", "state": "optimized geometry", "cell": [[0.000, 3.099, 3.099], [3.099, 0.000, 3.099], [3.099, 3.099, 0.000]], "species": ["B", "Sc", "Tb"], "frac_coords": [[0.000, 0.000, 0.000], [0.250, 0.250, 0.250], [0.750, 0.750, 0.750]], "de_polymorph_mev_per_atom": 0.0}

***

# 4
{"formula": "ScTlCdTe3", "functional": "PBE-GGA", "state": "optimized geometry", "cell": [[-3.289, 2.640, -0.884], [-6.553, -3.723, 2.761], [1.363, 5.075, 10.078]], "species": ["Te", "Sc", "Te", "Tl", "Te", "Te", "Sc", "Cd", "Te", "Tl", "Cd", "Te"], "frac_coords": [[0.632, 0.736, 0.462], [0.000, 0.000, 0.000], [0.368, 0.264, 0.538], [0.760, 0.480, 0.750], [0.368, 0.264, 0.962], [0.078, 0.845, 0.750], [0.000, 0.000, 0.500], [0.459, 0.083, 0.750], [0.632, 0.736, 0.038], [0.240, 0.520, 0.250], [0.541, 0.917, 0.250], [0.922, 0.155, 0.250]], "de_polymorph_mev_per_atom": 8.9}

***

# 5
{"formula": "UTeW", "functional": "PBE-GGA", "state": "optimized geometry", "cell": [[-2.472, -3.220, -2.326], [-4.265, -1.207, 1.497], [-3.783, 1.270, -2.442]], "species": ["Te", "W", "U"], "frac_coords": [[0.250, 0.250, 0.250], [0.000, 0.000, 0.000], [0.750, 0.750, 0.750]], "de_polymorph_mev_per_atom": 0.0}

***

# 6
{"formula": "PmSiAsO", "functional": "PBE-GGA", "state": "optimized geometry", "cell": [[3.826, 0.000, 0.000], [0.000, 6.170, 0.000], [0.000, 0.000, 7.032]], "species": ["Si", "O", "O", "As", "Si", "Pm", "As", "Pm"], "frac_coords": [[0.500, 0.120, 0.584], [0.500, 0.744, 0.292], [0.500, 0.256, 0.792], [0.000, 0.261, 0.402], [0.500, 0.880, 0.084], [0.000, 0.751, 0.476], [0.000, 0.739, 0.902], [0.000, 0.249, 0.976]], "de_polymorph_mev_per_atom": 0.0}